# 1
Here is a PBEsol-optimized structure of FePb2Se from the Alexandria database. Energies are from meta-GGA SCAN.

Summary:
Density   9.83 g/cm3
Total magnetization   2.94 μB per formula unit
Uncorrected formation energy   0.14 eV/atom
Density of states at the Fermi level   2.11 states/eV per cell
Space group   Immm
V   23.2 Å³/atom

Lattice parameters (Å, degrees): 3.356 3.568 8.124 102.69 101.92 90.00
Fractional positions:
1 Fe 0.000 0.500 0.000
2 Pb 0.668 0.668 0.336
3 Pb 0.332 0.332 0.664
4 Se 0.500 0.000 0.000

# 2
Here is a PBEsol-optimized structure of FePbSe2 from the Alexandria database. Energies are from meta-GGA SCAN.

Summary:
Density   8.87 g/cm3
Total magnetization   0.00 μB per formula unit
Uncorrected formation energy   -0.04 eV/atom
Density of states at the Fermi level   0.67 states/eV per cell
Space group   P2/m
V   19.7 Å³/atom

Lattice parameters (Å, degrees): 3.528 4.807 5.207 116.90 90.00 90.00
Fractional positions:
1 Fe 0.500 0.000 0.500
2 Pb 0.500 0.500 0.000
3 Se 0.000 0.200 0.340
4 Se 0.000 0.800 0.660